Here is a relaxed Sr4Ru3O10 crystal from the Alexandria database. Energies are from PBEsol.

Structure (CIF):
```
data_Sr4Ru3O10
_chemical_formula_sum 'Sr8 Ru6 O20'
_space_group_name_H-M_alt 'P 1'
_space_group_IT_number 1
_cell_length_a 14.506
_cell_length_b 14.506
_cell_length_c 5.481
_cell_angle_alpha 90.00
_cell_angle_beta 90.00
_cell_angle_gamma 21.78
loop_
_space_group_symop_operation_xyz
'x,y,z'
loop_
_atom_site_label
_atom_site_fract_x
_atom_site_fract_y
_atom_site_fract_z
_atom_site_occupancy
Sr1 0.070 0.070 0.000 1
Sr2 0.204 0.204 0.000 1
Sr3 0.296 0.296 0.500 1
Sr4 0.430 0.430 0.500 1
Sr5 0.570 0.570 0.500 1
Sr6 0.704 0.704 0.500 1
Sr7 0.796 0.796 0.000 1
Sr8 0.930 0.930 0.000 1
Ru1 0.000 0.000 0.500 1
Ru2 0.140 0.140 0.500 1
Ru3 0.360 0.360 0.000 1
Ru4 0.500 0.500 0.000 1
Ru5 0.640 0.640 0.000 1
Ru6 0.860 0.860 0.500 1
O1 0.069 0.069 0.500 1
O2 0.074 0.648 0.213 1
O3 0.148 0.574 0.713 1
O4 0.201 0.799 0.799 1
O5 0.210 0.210 0.500 1
O6 0.290 0.290 0.000 1
O7 0.299 0.701 0.299 1
O8 0.352 0.926 0.213 1
O9 0.426 0.852 0.713 1
O10 0.431 0.431 0.000 1
O11 0.569 0.569 0.000 1
O12 0.574 0.148 0.287 1
O13 0.648 0.074 0.787 1
O14 0.701 0.299 0.701 1
O15 0.710 0.710 0.000 1
O16 0.790 0.790 0.500 1
O17 0.799 0.201 0.201 1
O18 0.852 0.426 0.287 1
O19 0.926 0.352 0.787 1
O20 0.931 0.931 0.500 1
```

Output
- crystal system = orthorhombic
- formation energy from raw total energies (eV/atom) = -1.972
- N(E_F) (states/eV per cell) = 13.40

Here is a relaxed SrRuO3 crystal from the Alexandria database. Energies are from PBEsol.

Structure (CIF):
```
data_SrRuO3
_chemical_formula_sum 'Sr1 Ru1 O3'
_space_group_name_H-M_alt 'P 1'
_space_group_IT_number 1
_cell_length_a 3.909
_cell_length_b 3.909
_cell_length_c 3.909
_cell_angle_alpha 90.00
_cell_angle_beta 90.00
_cell_angle_gamma 90.00
loop_
_space_group_symop_operation_xyz
'x,y,z'
loop_
_atom_site_label
_atom_site_fract_x
_atom_site_fract_y
_atom_site_fract_z
_atom_site_occupancy
Sr1 0.000 0.000 0.000 1
Ru1 0.500 0.500 0.500 1
O1 0.000 0.500 0.500 1
O2 0.500 0.000 0.500 1
O3 0.500 0.500 0.000 1
```

Output
- crystal system = cubic
- formation energy from raw total energies (eV/atom) = -1.812
- N(E_F) (states/eV per cell) = 3.34

Here is a relaxed Sr2Ru3O10 crystal from the Alexandria database. Energies are from PBEsol.

Structure (CIF):
```
data_Sr2Ru3O10
_chemical_formula_sum 'Sr2 Ru3 O10'
_space_group_name_H-M_alt 'P 1'
_space_group_IT_number 1
_cell_length_a 6.214
_cell_length_b 6.214
_cell_length_c 6.552
_cell_angle_alpha 101.84
_cell_angle_beta 101.84
_cell_angle_gamma 52.53
loop_
_space_group_symop_operation_xyz
'x,y,z'
loop_
_atom_site_label
_atom_site_fract_x
_atom_site_fract_y
_atom_site_fract_z
_atom_site_occupancy
Sr1 0.176 0.176 0.157 1
Sr2 0.824 0.824 0.843 1
Ru1 0.272 0.728 0.500 1
Ru2 0.500 0.500 0.000 1
Ru3 0.728 0.272 0.500 1
O1 0.111 0.111 0.532 1
O2 0.251 0.743 0.203 1
O3 0.257 0.749 0.797 1
O4 0.329 0.329 0.932 1
O5 0.364 0.364 0.448 1
O6 0.636 0.636 0.552 1
O7 0.671 0.671 0.068 1
O8 0.743 0.251 0.203 1
O9 0.749 0.257 0.797 1
O10 0.889 0.889 0.468 1
```

Output
- crystal system = monoclinic
- formation energy from raw total energies (eV/atom) = -1.517
- N(E_F) (states/eV per cell) = 7.75

Here is a relaxed SrRuO3 crystal from the Alexandria database. Energies are from PBEsol.

Structure (CIF):
```
data_SrRuO3
_chemical_formula_sum 'Sr4 Ru4 O12'
_space_group_name_H-M_alt 'P 1'
_space_group_IT_number 1
_cell_length_a 5.517
_cell_length_b 7.803
_cell_length_c 5.545
_cell_angle_alpha 90.00
_cell_angle_beta 90.00
_cell_angle_gamma 90.00
loop_
_space_group_symop_operation_xyz
'x,y,z'
loop_
_atom_site_label
_atom_site_fract_x
_atom_site_fract_y
_atom_site_fract_z
_atom_site_occupancy
Sr1 0.025 0.250 0.004 1
Sr2 0.475 0.750 0.504 1
Sr3 0.525 0.250 0.496 1
Sr4 0.975 0.750 0.996 1
Ru1 0.000 0.000 0.500 1
Ru2 0.000 0.500 0.500 1
Ru3 0.500 0.000 0.000 1
Ru4 0.500 0.500 0.000 1
O1 0.006 0.750 0.442 1
O2 0.220 0.530 0.780 1
O3 0.220 0.970 0.780 1
O4 0.280 0.030 0.280 1
O5 0.280 0.470 0.280 1
O6 0.494 0.250 0.942 1
O7 0.506 0.750 0.058 1
O8 0.720 0.530 0.720 1
O9 0.720 0.970 0.720 1
O10 0.780 0.030 0.220 1
O11 0.780 0.470 0.220 1
O12 0.994 0.250 0.558 1
```

Output
- crystal system = orthorhombic
- formation energy from raw total energies (eV/atom) = -1.844
- N(E_F) (states/eV per cell) = 9.77

Here is a relaxed Sr2TbRuO6 crystal from the Alexandria database. Energies are from PBEsol.

Structure (CIF):
```
data_Sr2TbRuO6
_chemical_formula_sum 'Sr4 Tb2 Ru2 O12'
_space_group_name_H-M_alt 'P 1'
_space_group_IT_number 1
_cell_length_a 5.743
_cell_length_b 5.806
_cell_length_c 9.931
_cell_angle_alpha 90.00
_cell_angle_beta 124.88
_cell_angle_gamma 90.00
loop_
_space_group_symop_operation_xyz
'x,y,z'
loop_
_atom_site_label
_atom_site_fract_x
_atom_site_fract_y
_atom_site_fract_z
_atom_site_occupancy
Sr1 0.240 0.038 0.249 1
Sr2 0.240 0.462 0.749 1
Sr3 0.760 0.538 0.251 1
Sr4 0.760 0.962 0.751 1
Tb1 0.500 0.000 0.000 1
Tb2 0.500 0.500 0.500 1
Ru1 0.000 0.000 0.500 1
Ru2 0.000 0.500 0.000 1
O1 0.153 0.229 0.958 1
O2 0.153 0.271 0.458 1
O3 0.230 0.698 0.961 1
O4 0.230 0.802 0.461 1
O5 0.308 0.020 0.733 1
O6 0.308 0.480 0.233 1
O7 0.692 0.520 0.767 1
O8 0.692 0.980 0.267 1
O9 0.770 0.198 0.539 1
O10 0.770 0.302 0.039 1
O11 0.847 0.729 0.542 1
O12 0.847 0.771 0.042 1
```

Output
- crystal system = monoclinic
- formation energy from raw total energies (eV/atom) = -2.487
- N(E_F) (states/eV per cell) = 3.16

Here is a relaxed Sr2TiRuO6 crystal from the Alexandria database. Energies are from PBEsol.

Structure (CIF):
```
data_Sr2TiRuO6
_chemical_formula_sum 'Sr2 Ti1 Ru1 O6'
_space_group_name_H-M_alt 'P 1'
_space_group_IT_number 1
_cell_length_a 3.885
_cell_length_b 3.885
_cell_length_c 7.846
_cell_angle_alpha 90.00
_cell_angle_beta 90.00
_cell_angle_gamma 90.00
loop_
_space_group_symop_operation_xyz
'x,y,z'
loop_
_atom_site_label
_atom_site_fract_x
_atom_site_fract_y
_atom_site_fract_z
_atom_site_occupancy
Sr1 0.000 0.000 0.246 1
Sr2 0.000 0.000 0.754 1
Ti1 0.500 0.500 0.000 1
Ru1 0.500 0.500 0.500 1
O1 0.000 0.500 0.000 1
O2 0.000 0.500 0.500 1
O3 0.500 0.000 0.000 1
O4 0.500 0.000 0.500 1
O5 0.500 0.500 0.247 1
O6 0.500 0.500 0.753 1
```

Output
- crystal system = tetragonal
- formation energy from raw total energies (eV/atom) = -2.530
- N(E_F) (states/eV per cell) = 3.45

Here is a relaxed Sr2TmRuO6 crystal from the Alexandria database. Energies are from PBEsol.

Structure (CIF):
```
data_Sr2TmRuO6
_chemical_formula_sum 'Sr4 Tm2 Ru2 O12'
_space_group_name_H-M_alt 'P 1'
_space_group_IT_number 1
_cell_length_a 5.708
_cell_length_b 5.739
_cell_length_c 9.868
_cell_angle_alpha 90.00
_cell_angle_beta 125.03
_cell_angle_gamma 90.00
loop_
_space_group_symop_operation_xyz
'x,y,z'
loop_
_atom_site_label
_atom_site_fract_x
_atom_site_fract_y
_atom_site_fract_z
_atom_site_occupancy
Sr1 0.242 0.032 0.249 1
Sr2 0.242 0.468 0.749 1
Sr3 0.758 0.532 0.251 1
Sr4 0.758 0.968 0.751 1
Tm1 0.500 0.000 0.000 1
Tm2 0.500 0.500 0.500 1
Ru1 0.000 0.000 0.500 1
Ru2 0.000 0.500 0.000 1
O1 0.165 0.230 0.963 1
O2 0.165 0.270 0.463 1
O3 0.233 0.704 0.964 1
O4 0.233 0.796 0.464 1
O5 0.304 0.015 0.736 1
O6 0.304 0.485 0.236 1
O7 0.696 0.515 0.764 1
O8 0.696 0.985 0.264 1
O9 0.767 0.204 0.536 1
O10 0.767 0.296 0.036 1
O11 0.835 0.730 0.537 1
O12 0.835 0.770 0.037 1
```

Output
- crystal system = monoclinic
- formation energy from raw total energies (eV/atom) = -2.533
- N(E_F) (states/eV per cell) = 3.69

Here is a relaxed Sr6ZnRu2O12 crystal from the Alexandria database. Energies are from PBEsol.

Structure (CIF):
```
data_Sr6ZnRu2O12
_chemical_formula_sum 'Sr6 Zn1 Ru2 O12'
_space_group_name_H-M_alt 'P 1'
_space_group_IT_number 1
_cell_length_a 8.656
_cell_length_b 8.656
_cell_length_c 6.882
_cell_angle_alpha 112.16
_cell_angle_beta 112.16
_cell_angle_gamma 36.84
loop_
_space_group_symop_operation_xyz
'x,y,z'
loop_
_atom_site_label
_atom_site_fract_x
_atom_site_fract_y
_atom_site_fract_z
_atom_site_occupancy
Sr1 0.048 0.048 0.286 1
Sr2 0.293 0.293 0.704 1
Sr3 0.389 0.389 0.293 1
Sr4 0.611 0.611 0.707 1
Sr5 0.707 0.707 0.296 1
Sr6 0.952 0.952 0.714 1
Zn1 0.500 0.500 0.000 1
Ru1 0.171 0.171 0.998 1
Ru2 0.829 0.829 0.002 1
O1 0.000 0.500 0.000 1
O2 0.113 0.113 0.680 1
O3 0.150 0.673 0.998 1
O4 0.221 0.221 0.320 1
O5 0.327 0.850 0.002 1
O6 0.445 0.445 0.669 1
O7 0.500 0.000 0.000 1
O8 0.555 0.555 0.331 1
O9 0.673 0.150 0.998 1
O10 0.779 0.779 0.680 1
O11 0.850 0.327 0.002 1
O12 0.887 0.887 0.320 1
```

Output
- crystal system = monoclinic
- formation energy from raw total energies (eV/atom) = -2.182
- N(E_F) (states/eV per cell) = 5.04

Among the records above, which one has the lowest N(E_F)?
Sr2TbRuO6

Look up the N(E_F) of the sixth one.
3.45 states/eV per cell

Which formula does entry 8 have?
Sr6ZnRu2O12

N(E_F) of number 7 (Sr2TmRuO6)?
3.69 states/eV per cell